TiTlReO6, relaxed, DFT PBE; electronic total energy = -7.741 eV per atom; volume = 16.2 A^3/atom; space-group type = No. 143; raw formation energy = -1912 meV per atom
1.0
5.232 0.000 0.000
-2.616 4.531 0.000
0.000 0.000 6.134
Ti Tl Re O
1 1 1 6
direct
0.000 0.000 0.000
0.667 0.333 0.572
0.333 0.667 0.077
0.061 0.341 0.223
0.073 0.724 0.865
0.276 0.349 0.865
0.280 0.939 0.223
0.651 0.927 0.865
0.659 0.720 0.223